PBE SrSmB2O6, relaxed; uncorrected formation energy = -2.720 eV per atom; SG = C2/c (15)
1.0
-1.126 -2.779 -5.758
5.220 -3.368 1.884
-4.970 -2.674 3.922
Sr Sm B O
2 2 4 12
Direct
0.151 0.849 0.250
0.849 0.151 0.750
0.594 0.406 0.250
0.406 0.594 0.750
0.367 0.130 0.734
0.870 0.633 0.766
0.633 0.870 0.266
0.130 0.367 0.234
0.928 0.404 0.174
0.596 0.072 0.326
0.072 0.596 0.826
0.404 0.928 0.674
0.192 0.193 0.129
0.807 0.808 0.371
0.808 0.807 0.871
0.193 0.192 0.629
0.289 0.521 0.389
0.479 0.711 0.111
0.711 0.479 0.611
0.521 0.289 0.889

***

PBE Nd8GeRu3Br4, relaxed; uncorrected formation energy = -0.853 eV per atom; SG = R-3m (166)
1.0
-6.131 5.651 -0.630
-0.618 -1.666 -8.940
-0.829 -6.509 5.184
Nd Ge Ru Br
8 1 3 4
Direct
0.239 0.694 0.955
0.238 0.694 0.477
0.264 0.293 0.529
0.717 0.694 0.955
0.283 0.306 0.045
0.736 0.707 0.471
0.762 0.306 0.523
0.761 0.306 0.045
0.000 0.500 0.000
0.500 0.500 0.000
0.500 0.500 0.500
0.000 0.500 0.500
0.500 0.000 0.000
0.500 0.000 0.500
0.000 0.000 0.000
0.000 0.000 0.500

***

PBE Sm3Ho2Tm6Pu, relaxed; SG = C2/m (12); DFT formation energy = 0.04 eV per atom
1.0
6.101 -0.001 -0.009
-3.050 5.284 -0.009
-1.001 -1.733 11.411
Sm Ho Tm Pu
3 2 6 1
Direct
0.167 0.833 0.500
0.833 0.167 0.500
0.500 0.500 0.500
0.333 0.667 0.000
0.667 0.333 0.000
0.918 0.589 0.754
0.753 0.753 0.246
0.082 0.411 0.246
0.589 0.918 0.754
0.247 0.247 0.754
0.411 0.082 0.246
0.000 0.000 0.000

***

PBE NdSeClO4, relaxed; uncorrected formation energy = -1.699 eV per atom; SG = C2/m (12)
1.0
-1.171 -6.057 1.314
4.907 -3.444 -1.961
3.504 -0.846 5.827
Nd Se Cl O
2 2 2 8
Direct
0.224 0.224 0.869
0.776 0.776 0.131
0.637 0.637 0.733
0.363 0.363 0.267
0.021 0.021 0.233
0.979 0.979 0.767
0.277 0.277 0.505
0.723 0.723 0.495
0.139 0.487 0.140
0.527 0.527 0.242
0.513 0.861 0.860
0.487 0.139 0.140
0.473 0.473 0.758
0.861 0.513 0.860

***

PBE OsRu2, relaxed; SG = P6_3/mmc (194); DFT formation energy = 0.30 eV per atom
1.0
-2.790 3.277 -0.058
-1.443 -4.053 0.164
0.102 0.182 5.388
Os Ru
2 4
Direct
0.667 0.333 0.750
0.333 0.667 0.250
0.000 0.000 0.000
0.000 0.000 0.500
0.667 0.333 0.250
0.333 0.667 0.750

***

PBE KAlSnF6, relaxed; uncorrected formation energy = -2.912 eV per atom; SG = C2 (5)
1.0
-2.661 -4.459 2.630
-0.764 -5.034 -2.820
4.285 -1.579 1.663
K Al Sn F
1 1 1 6
Direct
0.666 0.666 0.500
0.333 0.333 0.500
0.999 0.999 0.000
0.088 0.307 0.279
0.307 0.088 0.721
0.606 0.306 0.721
0.086 0.608 0.721
0.306 0.606 0.279
0.608 0.086 0.279

***

PBE ZnCu8Ni4, relaxed; SG = Pm-3m (221); DFT formation energy = 0.29 eV per atom
1.0
5.430 -0.822 0.956
0.654 5.453 0.956
-1.079 -0.822 5.407
Zn Cu Ni
1 8 4
Direct
0.500 0.500 0.500
0.241 0.759 0.241
0.759 0.759 0.241
0.759 0.241 0.759
0.241 0.759 0.759
0.759 0.759 0.759
0.241 0.241 0.241
0.759 0.241 0.241
0.241 0.241 0.759
0.500 0.000 0.500
0.000 0.500 0.500
0.500 0.500 0.000
0.000 0.000 0.000

***

PBE GaSbI2O, relaxed; uncorrected formation energy = -0.242 eV per atom; SG = P4/mmm (123)
1.0
-5.698 -1.132 1.196
0.980 -5.793 -0.813
0.813 -0.358 3.535
I Sb O Ga
2 1 1 1
Direct
0.000 0.500 0.000
0.500 0.000 0.000
0.500 0.500 0.500
0.000 0.000 0.500
0.000 0.000 0.000

***

PBE VRe2Au2, relaxed; SG = P4/mbm (127); DFT formation energy = 0.82 eV per atom
1.0
7.915 0.000 0.000
0.000 7.915 0.000
0.000 0.000 2.753
Re Au V
4 4 2
Direct
0.112 0.612 0.500
0.612 0.888 0.500
0.888 0.388 0.500
0.388 0.112 0.500
0.318 0.818 0.000
0.818 0.682 0.000
0.682 0.182 0.000
0.182 0.318 0.000
0.000 0.000 0.000
0.500 0.500 0.000

***

PBE BaNaTa, relaxed; SG = P4/nmm (129); DFT formation energy = 1.46 eV per atom
1.0
4.099 0.000 0.000
0.000 4.099 0.000
0.000 0.000 12.060
Na Ba Ta
2 2 2
Direct
0.000 0.500 0.218
0.500 0.000 0.782
0.000 0.000 0.500
0.500 0.500 0.500
0.000 0.500 0.964
0.500 0.000 0.036

***

PBE LiAlAs2O8, relaxed; uncorrected formation energy = -1.213 eV per atom; SG = I-4m2 (119)
1.0
-3.511 -0.722 -4.210
1.109 -4.845 2.423
-2.302 3.391 3.711
Li Al As O
1 1 2 8
Direct
0.250 0.750 0.500
0.000 0.000 0.000
0.750 0.250 0.500
0.500 0.500 0.000
0.371 0.083 0.288
0.319 0.519 0.200
0.319 0.120 0.800
0.795 0.083 0.712
0.880 0.681 0.200
0.917 0.205 0.288
0.917 0.629 0.712
0.481 0.681 0.800

***

PBE YNi8Pt3, relaxed; SG = P3m1 (156); DFT formation energy = -0.20 eV per atom
1.0
-0.627 4.753 -0.555
-0.792 -2.988 -3.706
-7.474 -0.731 2.187
Y Ni Pt
1 8 3
Direct
0.000 0.000 0.565
0.333 0.667 0.495
0.333 0.667 0.996
0.503 0.006 0.758
0.503 0.497 0.758
0.994 0.497 0.758
0.165 0.331 0.242
0.165 0.835 0.242
0.669 0.835 0.242
0.667 0.333 0.432
0.667 0.333 0.064
0.000 0.000 0.946

***

Number 3 is which compound? Sm3Ho2Tm6Pu